{"formula": "Tb8Pr3Ho2", "functional": "GGA-PBE", "state": "relaxed", "lattice": [[5.036, -7.605, 0.000], [5.036, 7.605, 0.000], [-0.086, 0.000, 11.355]], "species": ["Tb", "Tb", "Tb", "Tb", "Tb", "Tb", "Tb", "Tb", "Tb", "Tb", "Tb", "Tb", "Tb", "Tb", "Tb", "Tb", "Pr", "Pr", "Pr", "Pr", "Pr", "Pr", "Ho", "Ho", "Ho", "Ho"], "fractional_positions": [[0.057, 0.578, 0.247], [0.167, 0.188, 0.249], [0.188, 0.167, 0.749], [0.197, 0.792, 0.965], [0.198, 0.430, 0.503], [0.208, 0.803, 0.535], [0.422, 0.943, 0.253], [0.430, 0.198, 0.003], [0.570, 0.802, 0.997], [0.578, 0.057, 0.747], [0.792, 0.197, 0.465], [0.802, 0.570, 0.497], [0.803, 0.208, 0.035], [0.812, 0.833, 0.251], [0.833, 0.812, 0.751], [0.943, 0.422, 0.753], [0.000, 0.000, 0.000], [0.000, 0.000, 0.500], [0.345, 0.655, 0.750], [0.438, 0.562, 0.250], [0.562, 0.438, 0.750], [0.655, 0.345, 0.250], [0.209, 0.429, 0.994], [0.429, 0.209, 0.494], [0.571, 0.791, 0.506], [0.791, 0.571, 0.006]], "m_tot_mub_per_fu": 0.0, "sg": "C2/c, No. 15", "density_g_cm3": 7.7, "de_polymorph_mev_per_atom": 0, "delta_e_f_ev_per_fu": 2.23}

{"formula": "Tb8Pr3Ho3", "functional": "GGA-PBE", "state": "relaxed", "lattice": [[-2.842, 5.422, 7.547], [2.842, -5.422, 7.547], [2.842, 5.422, -7.547]], "species": ["Tb", "Tb", "Tb", "Tb", "Tb", "Tb", "Tb", "Tb", "Pr", "Pr", "Pr", "Ho", "Ho", "Ho"], "fractional_positions": [[0.056, 0.898, 0.159], [0.060, 0.720, 0.339], [0.261, 0.102, 0.159], [0.381, 0.720, 0.661], [0.619, 0.280, 0.339], [0.739, 0.898, 0.841], [0.940, 0.280, 0.661], [0.944, 0.102, 0.841], [0.317, 0.317, 0.000], [0.500, 0.000, 0.500], [0.683, 0.683, 0.000], [0.000, 0.500, 0.500], [0.296, 0.500, 0.796], [0.704, 0.500, 0.204]], "m_tot_mub_per_fu": 0.0, "sg": "Immm, No. 71", "density_g_cm3": 7.8, "delta_e_f_ev_per_fu": 1.44}

{"formula": "TbPr4Ho6", "functional": "GGA-PBE", "state": "relaxed", "lattice": [[-3.350, 3.350, 8.486], [3.350, -3.350, 8.486], [3.350, 3.350, -8.486]], "species": ["Tb", "Pr", "Pr", "Pr", "Pr", "Ho", "Ho", "Ho", "Ho", "Ho", "Ho"], "fractional_positions": [[0.000, 0.000, 0.000], [0.014, 0.014, 0.381], [0.366, 0.986, 0.000], [0.634, 0.634, 0.619], [0.986, 0.366, 0.000], [0.000, 0.500, 0.500], [0.200, 0.555, 0.000], [0.445, 0.445, 0.646], [0.500, 0.000, 0.500], [0.555, 0.200, 0.000], [0.800, 0.800, 0.354]], "m_tot_mub_per_fu": 0.0, "sg": "I-42m, No. 121", "density_g_cm3": 7.5, "de_polymorph_mev_per_atom": 0, "delta_e_f_ev_per_fu": 3.25}

{"formula": "Tb5PrHo", "functional": "GGA-PBE", "state": "relaxed", "lattice": [[5.881, -3.402, 0.000], [5.881, 3.402, 0.000], [-4.138, 0.000, 11.517]], "species": ["Tb", "Tb", "Tb", "Tb", "Tb", "Tb", "Tb", "Tb", "Tb", "Tb", "Pr", "Pr", "Ho", "Ho"], "fractional_positions": [[0.081, 0.919, 0.750], [0.082, 0.361, 0.752], [0.154, 0.693, 0.000], [0.307, 0.846, 0.500], [0.361, 0.082, 0.252], [0.639, 0.918, 0.748], [0.693, 0.154, 0.500], [0.846, 0.307, 0.000], [0.918, 0.639, 0.248], [0.919, 0.081, 0.250], [0.000, 0.500, 0.500], [0.500, 0.000, 0.000], [0.472, 0.528, 0.250], [0.528, 0.472, 0.750]], "m_tot_mub_per_fu": 0.0, "sg": "C2/c, No. 15", "density_g_cm3": 7.9, "de_polymorph_mev_per_atom": 0, "delta_e_f_ev_per_fu": 1.30}

{"formula": "Tb5PrHo2", "functional": "GGA-PBE", "state": "relaxed", "lattice": [[7.148, 0.000, 0.000], [0.000, 14.298, 0.000], [0.000, 0.000, 5.037]], "species": ["Tb", "Tb", "Tb", "Tb", "Tb", "Tb", "Tb", "Tb", "Tb", "Tb", "Pr", "Pr", "Ho", "Ho", "Ho", "Ho"], "fractional_positions": [[0.000, 0.000, 0.000], [0.001, 0.249, 0.000], [0.249, 0.874, 0.500], [0.251, 0.374, 0.500], [0.499, 0.749, 0.000], [0.500, 0.500, 0.000], [0.501, 0.251, 0.000], [0.749, 0.626, 0.500], [0.751, 0.126, 0.500], [0.999, 0.751, 0.000], [0.000, 0.500, 0.000], [0.500, 0.000, 0.000], [0.250, 0.126, 0.500], [0.250, 0.626, 0.500], [0.750, 0.374, 0.500], [0.750, 0.874, 0.500]], "m_tot_mub_per_fu": 0.0, "sg": "Pbam, No. 55", "density_g_cm3": 8.2, "de_polymorph_mev_per_atom": 0, "delta_e_f_ev_per_fu": 0.13}

{"formula": "Tb5PrHo4", "functional": "GGA-PBE", "state": "relaxed", "lattice": [[-5.102, 5.102, 3.149], [5.102, -5.102, 3.149], [5.102, 5.102, -3.149]], "species": ["Tb", "Tb", "Tb", "Tb", "Tb", "Pr", "Ho", "Ho", "Ho", "Ho"], "fractional_positions": [[0.000, 0.000, 0.000], [0.038, 0.418, 0.912], [0.126, 0.038, 0.620], [0.418, 0.506, 0.380], [0.506, 0.126, 0.088], [0.543, 0.543, 0.000], [0.125, 0.726, 0.300], [0.426, 0.826, 0.700], [0.726, 0.426, 0.600], [0.826, 0.125, 0.400]], "m_tot_mub_per_fu": 0.0, "sg": "I4, No. 79", "density_g_cm3": 8.1, "delta_e_f_ev_per_fu": 3.01}

{"formula": "Tb12Pr7Ho", "functional": "GGA-PBE", "state": "relaxed", "lattice": [[6.042, 3.488, 5.441], [-6.042, 3.488, 5.441], [0.000, -6.977, 5.441]], "species": ["Tb", "Tb", "Tb", "Tb", "Tb", "Tb", "Tb", "Tb", "Tb", "Tb", "Tb", "Tb", "Pr", "Pr", "Pr", "Pr", "Pr", "Pr", "Pr", "Ho"], "fractional_positions": [[0.003, 0.884, 0.365], [0.116, 0.635, 0.997], [0.227, 0.355, 0.750], [0.250, 0.773, 0.645], [0.355, 0.750, 0.227], [0.365, 0.003, 0.884], [0.635, 0.997, 0.116], [0.645, 0.250, 0.773], [0.750, 0.227, 0.355], [0.773, 0.645, 0.250], [0.884, 0.365, 0.003], [0.997, 0.116, 0.635], [0.000, 0.000, 0.000], [0.101, 0.418, 0.345], [0.345, 0.101, 0.418], [0.418, 0.345, 0.101], [0.582, 0.655, 0.899], [0.655, 0.899, 0.582], [0.899, 0.582, 0.655], [0.500, 0.500, 0.500]], "m_tot_mub_per_fu": 0.0, "sg": "R-3, No. 148", "density_g_cm3": 7.4, "de_polymorph_mev_per_atom": 0, "delta_e_f_ev_per_fu": 4.53}

{"formula": "TbPr4Ho4", "functional": "GGA-PBE", "state": "relaxed", "lattice": [[-5.426, 5.426, 2.548], [5.426, -5.426, 2.548], [5.426, 5.426, -2.548]], "species": ["Tb", "Pr", "Pr", "Pr", "Pr", "Ho", "Ho", "Ho", "Ho"], "fractional_positions": [[0.000, 0.000, 0.000], [0.333, 0.333, 0.666], [0.333, 0.667, 0.000], [0.667, 0.333, 0.000], [0.667, 0.667, 0.334], [0.000, 0.336, 0.336], [0.000, 0.664, 0.664], [0.336, 0.000, 0.336], [0.664, 0.000, 0.664]], "m_tot_mub_per_fu": 0.0, "sg": "I4/mmm, No. 139", "density_g_cm3": 7.7, "de_polymorph_mev_per_atom": 0, "delta_e_f_ev_per_fu": 0.18}

{"formula": "Tb2Pr3Ho4", "functional": "GGA-PBE", "state": "relaxed", "lattice": [[5.954, -1.799, 0.000], [5.954, 1.799, 0.000], [-5.393, 0.000, 13.793]], "species": ["Tb", "Tb", "Pr", "Pr", "Pr", "Ho", "Ho", "Ho", "Ho"], "fractional_positions": [[0.053, 0.053, 0.220], [0.947, 0.947, 0.780], [0.391, 0.391, 0.557], [0.500, 0.500, 0.000], [0.609, 0.609, 0.443], [0.171, 0.171, 0.671], [0.278, 0.278, 0.111], [0.722, 0.722, 0.889], [0.829, 0.829, 0.329]], "m_tot_mub_per_fu": 0.0, "sg": "C2/m, No. 12", "density_g_cm3": 7.9, "de_polymorph_mev_per_atom": 0, "delta_e_f_ev_per_fu": 0.18}

{"formula": "Tb9Pr2Ho3", "functional": "GGA-PBE", "state": "relaxed", "lattice": [[8.656, -4.423, 0.000], [8.656, 4.423, 0.000], [-1.562, 0.000, 6.331]], "species": ["Tb", "Tb", "Tb", "Tb", "Tb", "Tb", "Tb", "Tb", "Tb", "Pr", "Pr", "Ho", "Ho", "Ho"], "fractional_positions": [[0.000, 0.000, 0.000], [0.006, 0.666, 0.172], [0.103, 0.574, 0.693], [0.334, 0.994, 0.828], [0.426, 0.897, 0.307], [0.574, 0.103, 0.693], [0.666, 0.006, 0.172], [0.897, 0.426, 0.307], [0.994, 0.334, 0.828], [0.307, 0.693, 0.500], [0.693, 0.307, 0.500], [0.307, 0.307, 0.248], [0.500, 0.500, 0.000], [0.693, 0.693, 0.752]], "m_tot_mub_per_fu": 0.0, "sg": "C2/m, No. 12", "density_g_cm3": 7.6, "delta_e_f_ev_per_fu": 4.78}

{"formula": "Tb3Pr2Ho4", "functional": "GGA-PBE", "state": "relaxed", "lattice": [[8.197, -5.816, 0.000], [8.197, 5.816, 0.000], [-0.674, 0.000, 6.112]], "species": ["Tb", "Tb", "Tb", "Tb", "Tb", "Tb", "Pr", "Pr", "Pr", "Pr", "Ho", "Ho", "Ho", "Ho", "Ho", "Ho", "Ho", "Ho"], "fractional_positions": [[0.099, 0.901, 0.750], [0.238, 0.434, 0.900], [0.434, 0.238, 0.400], [0.566, 0.762, 0.600], [0.762, 0.566, 0.100], [0.901, 0.099, 0.250], [0.020, 0.732, 0.177], [0.268, 0.980, 0.323], [0.732, 0.020, 0.677], [0.980, 0.268, 0.823], [0.079, 0.355, 0.349], [0.315, 0.593, 0.484], [0.355, 0.079, 0.849], [0.407, 0.685, 0.016], [0.593, 0.315, 0.984], [0.645, 0.921, 0.151], [0.685, 0.407, 0.516], [0.921, 0.645, 0.651]], "m_tot_mub_per_fu": 0.0, "sg": "C2/c, No. 15", "density_g_cm3": 8.1, "delta_e_f_ev_per_fu": 0.85}

{"formula": "TbPr7Ho3", "functional": "GGA-PBE", "state": "relaxed", "lattice": [[9.730, -3.616, 0.000], [9.730, 3.616, 0.000], [-5.687, 0.000, 11.362]], "species": ["Tb", "Tb", "Pr", "Pr", "Pr", "Pr", "Pr", "Pr", "Pr", "Pr", "Pr", "Pr", "Pr", "Pr", "Pr", "Pr", "Ho", "Ho", "Ho", "Ho", "Ho", "Ho"], "fractional_positions": [[0.000, 0.000, 0.000], [0.000, 0.000, 0.500], [0.080, 0.585, 0.472], [0.082, 0.587, 0.976], [0.213, 0.787, 0.750], [0.336, 0.347, 0.227], [0.347, 0.336, 0.727], [0.413, 0.918, 0.524], [0.415, 0.920, 0.028], [0.585, 0.080, 0.972], [0.587, 0.082, 0.476], [0.653, 0.664, 0.273], [0.664, 0.653, 0.773], [0.787, 0.213, 0.250], [0.918, 0.413, 0.024], [0.920, 0.415, 0.528], [0.167, 0.174, 0.274], [0.174, 0.167, 0.774], [0.500, 0.500, 0.000], [0.500, 0.500, 0.500], [0.826, 0.833, 0.226], [0.833, 0.826, 0.726]], "m_tot_mub_per_fu": 0.0, "sg": "C2/c, No. 15", "density_g_cm3": 6.8, "de_polymorph_mev_per_atom": 0, "delta_e_f_ev_per_fu": 2.00}

{"formula": "Tb4Pr2Ho3", "functional": "GGA-PBE", "state": "relaxed", "lattice": [[8.160, -5.840, 0.000], [8.160, 5.840, 0.000], [-0.670, 0.000, 6.135]], "species": ["Tb", "Tb", "Tb", "Tb", "Tb", "Tb", "Tb", "Tb", "Pr", "Pr", "Pr", "Pr", "Ho", "Ho", "Ho", "Ho", "Ho", "Ho"], "fractional_positions": [[0.093, 0.813, 0.985], [0.145, 0.422, 0.152], [0.187, 0.907, 0.515], [0.422, 0.145, 0.652], [0.578, 0.855, 0.348], [0.813, 0.093, 0.485], [0.855, 0.578, 0.848], [0.907, 0.187, 0.015], [0.234, 0.523, 0.679], [0.477, 0.766, 0.821], [0.523, 0.234, 0.179], [0.766, 0.477, 0.321], [0.067, 0.263, 0.594], [0.263, 0.067, 0.094], [0.401, 0.599, 0.250], [0.599, 0.401, 0.750], [0.737, 0.933, 0.906], [0.933, 0.737, 0.406]], "m_tot_mub_per_fu": 0.0, "sg": "C2/c, No. 15", "density_g_cm3": 8.0, "delta_e_f_ev_per_fu": 0.82}

{"formula": "Tb3Pr5Ho2", "functional": "GGA-PBE", "state": "relaxed", "lattice": [[5.402, -7.459, 0.000], [5.402, 7.459, 0.000], [-5.402, 0.000, 8.562]], "species": ["Tb", "Tb", "Tb", "Tb", "Tb", "Tb", "Pr", "Pr", "Pr", "Pr", "Pr", "Pr", "Pr", "Pr", "Pr", "Pr", "Ho", "Ho", "Ho", "Ho"], "fractional_positions": [[0.030, 0.280, 0.058], [0.229, 0.771, 0.750], [0.280, 0.030, 0.558], [0.720, 0.970, 0.442], [0.771, 0.229, 0.250], [0.970, 0.720, 0.942], [0.023, 0.977, 0.750], [0.118, 0.377, 0.743], [0.272, 0.728, 0.250], [0.377, 0.118, 0.243], [0.482, 0.518, 0.250], [0.518, 0.482, 0.750], [0.623, 0.882, 0.757], [0.728, 0.272, 0.750], [0.882, 0.623, 0.257], [0.977, 0.023, 0.250], [0.218, 0.475, 0.441], [0.475, 0.218, 0.941], [0.525, 0.782, 0.059], [0.782, 0.525, 0.559]], "m_tot_mub_per_fu": 0.0, "sg": "C2/c, No. 15", "density_g_cm3": 7.3, "de_polymorph_mev_per_atom": 0, "delta_e_f_ev_per_fu": 1.72}

{"formula": "Tb5Pr2Ho6", "functional": "GGA-PBE", "state": "relaxed", "lattice": [[11.707, 0.000, 0.000], [0.000, 20.277, 0.000], [0.000, 0.000, 3.582]], "species": ["Tb", "Tb", "Tb", "Tb", "Tb", "Tb", "Tb", "Tb", "Tb", "Tb", "Pr", "Pr", "Pr", "Pr", "Ho", "Ho", "Ho", "Ho", "Ho", "Ho", "Ho", "Ho", "Ho", "Ho", "Ho", "Ho"], "fractional_positions": [[0.000, 0.000, 0.000], [0.092, 0.279, 0.000], [0.200, 0.552, 0.000], [0.300, 0.052, 0.000], [0.408, 0.779, 0.000], [0.500, 0.500, 0.000], [0.592, 0.221, 0.000], [0.700, 0.948, 0.000], [0.800, 0.448, 0.000], [0.908, 0.721, 0.000], [0.169, 0.717, 0.500], [0.331, 0.217, 0.500], [0.669, 0.783, 0.500], [0.831, 0.283, 0.500], [0.060, 0.423, 0.500], [0.077, 0.135, 0.500], [0.180, 0.874, 0.000], [0.320, 0.374, 0.000], [0.423, 0.635, 0.500], [0.440, 0.923, 0.500], [0.560, 0.077, 0.500], [0.577, 0.365, 0.500], [0.680, 0.626, 0.000], [0.820, 0.126, 0.000], [0.923, 0.865, 0.500], [0.940, 0.577, 0.500]], "m_tot_mub_per_fu": 0.0, "sg": "Pbam, No. 55", "density_g_cm3": 8.1, "delta_e_f_ev_per_fu": 1.29}

{"formula": "Tb2PrHo7", "functional": "GGA-PBE", "state": "relaxed", "lattice": [[4.437, -8.334, 0.000], [4.437, 8.334, 0.000], [-3.319, 0.000, 4.298]], "species": ["Tb", "Tb", "Pr", "Ho", "Ho", "Ho", "Ho", "Ho", "Ho", "Ho"], "fractional_positions": [[0.199, 0.801, 0.000], [0.801, 0.199, 0.000], [0.500, 0.500, 0.500], [0.000, 0.000, 0.000], [0.139, 0.358, 0.748], [0.299, 0.701, 0.500], [0.358, 0.139, 0.748], [0.642, 0.861, 0.252], [0.701, 0.299, 0.500], [0.861, 0.642, 0.252]], "m_tot_mub_per_fu": 0.0, "sg": "C2/m, No. 12", "density_g_cm3": 8.4, "de_polymorph_mev_per_atom": 0, "delta_e_f_ev_per_fu": 0.46}

{"formula": "Tb5Pr4Ho", "functional": "GGA-PBE", "state": "relaxed", "lattice": [[-5.354, 5.354, 3.023], [5.354, -5.354, 3.023], [5.354, 5.354, -3.023]], "species": ["Tb", "Tb", "Tb", "Tb", "Tb", "Pr", "Pr", "Pr", "Pr", "Ho"], "fractional_positions": [[0.000, 0.000, 0.000], [0.547, 0.547, 0.624], [0.547, 0.923, 0.000], [0.923, 0.547, 0.000], [0.923, 0.923, 0.376], [0.246, 0.569, 0.323], [0.246, 0.923, 0.677], [0.569, 0.246, 0.323], [0.923, 0.246, 0.677], [0.474, 0.474, 0.000]], "m_tot_mub_per_fu": 0.0, "sg": "I4mm, No. 107", "density_g_cm3": 7.3, "de_polymorph_mev_per_atom": 44, "delta_e_f_ev_per_fu": 2.29}

{"formula": "Tb2Pr3Ho2", "functional": "GGA-PBE", "state": "relaxed", "lattice": [[3.572, 0.000, 0.000], [1.786, 8.457, 0.000], [0.004, 4.230, 7.764]], "species": ["Tb", "Tb", "Pr", "Pr", "Pr", "Ho", "Ho"], "fractional_positions": [[0.071, 0.360, 0.431], [0.929, 0.640, 0.569], [0.000, 0.500, 0.000], [0.294, 0.912, 0.712], [0.706, 0.088, 0.288], [0.362, 0.777, 0.167], [0.638, 0.223, 0.833]], "m_tot_mub_per_fu": 0.0, "sg": "P-1, No. 2", "density_g_cm3": 7.6, "de_polymorph_mev_per_atom": 0, "delta_e_f_ev_per_fu": 0.28}